# SrEr4 PBE optimized geometry
data_SrEr4
_chemical_formula_sum 'Sr1 Er4'
_symmetry_space_group_name_H-M 'P m -3 m'
_symmetry_Int_Tables_number 221
_symmetry_space_group_name_Hall '-P 4 2 3'
_cell_length_a 5.616
_cell_length_b 5.616
_cell_length_c 5.616
_cell_angle_alpha 90.00
_cell_angle_beta 90.00
_cell_angle_gamma 90.00
loop_
_atom_site_label
_atom_site_type_symbol
_atom_site_fract_x
_atom_site_fract_y
_atom_site_fract_z
_atom_site_occupancy
Sr1 Sr 0.000 0.000 0.000 1
Er1 Er 0.000 0.000 0.500 1
Er2 Er 0.500 0.500 0.500 1
# E_tot: -0.217 Ry/atom
# DFT formation energy: 1038 meV per atom
# Total magnetization: 0.0 Bohr magnetons per cell